(1)
Crystalline LaSi2Au6 at its relaxed geometry, computed with PBE.

The density of states at the Fermi level is 4.05 states/eV/f.u. Its crystal system is tetragonal. The value obtained for the energy is -4.32 eV/atom. The calculation puts the formation energy (no corrections) at -378 meV per atom. The spin magnetization is 0.00 μB/cell. The calculation puts the volume at 173 Å³ per cell.

The space group is P4/mmm (No. 123) and the conventional cell measures 4.4531, 4.4531 and 8.7010 Å, with angles of 90.00, 90.00 and 90.00 degrees. The distinct sites, in fractional coordinates, are La at (0.0000, 0.0000, 0.0000), Si at (0.5000, 0.5000, 0.1378), Au at (0.0000, 0.0000, 0.5000), Au at (0.0000, 0.5000, 0.2755) and Au at (0.5000, 0.5000, 0.5000).

***

(2)
Crystalline CsRbVCu2 at its relaxed geometry, computed with PBE.

The density of states at the Fermi level is 3.55 states/eV/f.u. Its crystal system is tetragonal. The value obtained for the energy is -2.87 eV/atom. The spin magnetization is 4.41 μB/cell. The calculation puts the volume at 163 Å³ per cell. For the formation energy, the calculation gives 4.8 eV/f.u.

The space group is P4/mmm (No. 123) and the conventional cell measures 5.2495, 5.2495 and 5.9042 Å, with angles of 90.00, 90.00 and 90.00 degrees. The distinct sites, in fractional coordinates, are Cs at (0.0000, 0.0000, 0.0000), Rb at (0.5000, 0.5000, 0.0000), V at (0.0000, 0.0000, 0.5000) and Cu at (0.0000, 0.5000, 0.5000).

***

(3)
Crystalline Ba2Au at its relaxed geometry, computed with PBE.

The density of states at the Fermi level is 3.88 states/eV/f.u. Its crystal system is hexagonal. The value obtained for the energy is -2.36 eV/atom. The spin magnetization is 0.00 μB/cell. The calculation puts the volume at 106 Å³ per cell. For the formation energy, the calculation gives 0.0 eV/f.u.

The space group is P6/mmm (No. 191) and the conventional cell measures 5.7506, 5.7506 and 3.6978 Å, with angles of 90.00, 90.00 and 120.00 degrees. The distinct sites, in fractional coordinates, are Ba at (0.3333, 0.6667, 0.0000) and Au at (0.0000, 0.0000, 0.5000).

***

(4)
Crystalline Eu2ZnN at its relaxed geometry, computed with PBE.

The density of states at the Fermi level is 5.09 states/eV/f.u. The calculation puts the excess energy over the best structure of this formula in the dataset at 0 meV/atom. Its crystal system is trigonal. The value obtained for the energy is -8.09 eV/atom. The calculation puts the formation energy (no corrections) at -555 meV per atom. The spin magnetization is 43.45 μB/cell. The calculation puts the volume at 273 Å³ per cell.

The space group is R-3m (No. 166, hexagonal axes) and the conventional cell measures 3.6676, 3.6676 and 23.4606 Å, with angles of 90.00, 90.00 and 120.00 degrees. The distinct sites, in fractional coordinates, are Eu at (0.0000, 0.0000, 0.2255), Zn at (0.0000, 0.0000, 0.0000) and N at (0.0000, 0.0000, 0.5000).

***

(5)
Crystalline TiI3 at its relaxed geometry, computed with PBE.

The density of states at the Fermi level is 0.76 states/eV/f.u. Its crystal system is orthorhombic. The value obtained for the energy is -3.92 eV/atom. The calculation puts the formation energy (no corrections) at -784 meV per atom. The spin magnetization is 0.08 μB/cell. The calculation puts the volume at 681 Å³ per cell.

The space group is Pmmn (No. 59, origin choice 2) and the conventional cell measures 6.4808, 13.4576 and 7.8109 Å, with angles of 90.00, 90.00 and 90.00 degrees. The distinct sites, in fractional coordinates, are Ti at (0.0264, 0.2500, 0.2494), I at (0.2500, 0.0993, 0.3988), I at (0.2500, 0.2500, 0.9507), I at (0.2500, 0.6069, 0.8924) and I at (0.2500, 0.7500, 0.4656).

***

(6)
Crystalline CuBPt4 at its relaxed geometry, computed with PBE.

The density of states at the Fermi level is 3.59 states/eV/f.u. The calculation puts the excess energy over the best structure of this formula in the dataset at 0 meV/atom. Its crystal system is monoclinic. The value obtained for the energy is -5.89 eV/atom. The spin magnetization is 0.00 μB/cell. The calculation puts the volume at 179 Å³ per cell. For the formation energy, the calculation gives -0.4 eV/f.u.

The space group is Cm (No. 8) and the conventional cell measures 5.6091, 5.6087 and 5.8730 Å, with angles of 90.00, 103.71 and 90.00 degrees. The distinct sites, in fractional coordinates, are Cu at (0.0000, 0.0000, 0.0000), B at (0.0998, 0.5000, 0.4476), Pt at (0.1950, 0.2450, 0.7221) and Pt at (0.3140, 0.2502, 0.2810).

***

(7)
Crystalline CeSiCl6 at its relaxed geometry, computed with PBE.

The density of states at the Fermi level is 4.46 states/eV/f.u. Its crystal system is monoclinic. The value obtained for the energy is -4.22 eV/atom. The calculation puts the formation energy (no corrections) at -1414 meV per atom. The spin magnetization is 0.40 μB/cell. The calculation puts the volume at 492 Å³ per cell.

The space group is C2/m (No. 12) and the conventional cell measures 6.4915, 12.1473 and 6.4794 Å, with angles of 90.00, 105.46 and 90.00 degrees. The distinct sites, in fractional coordinates, are Ce at (0.0000, 0.0000, 0.0000), Si at (0.0000, 0.5000, 0.5000), Cl at (0.2291, 0.3616, 0.7323) and Cl at (0.2440, 0.5000, 0.2604).

***

(8)
Crystalline Na2SiN2 at its relaxed geometry, computed with PBE.

The density of states at the Fermi level is 0.00 states/eV/f.u. Its crystal system is orthorhombic. The value obtained for the energy is -5.56 eV/atom. The calculation puts the formation energy (no corrections) at -620 meV per atom. The spin magnetization is 0.00 μB/cell. The calculation puts the volume at 257 Å³ per cell.

The space group is Pbcn (No. 60) and the conventional cell measures 9.4473, 5.5548 and 4.8902 Å, with angles of 90.00, 90.00 and 90.00 degrees. The distinct sites, in fractional coordinates, are Na at (0.1578, 0.1112, 0.0553), Si at (0.0000, 0.4930, 0.7500) and N at (0.0921, 0.3262, 0.4966).

***

(9)
Crystalline LuSc2Pa at its relaxed geometry, computed with PBE.

The density of states at the Fermi level is 3.96 states/eV/f.u. The calculation puts the excess energy over the best structure of this formula in the dataset at 75 meV/atom. Its crystal system is tetragonal. The value obtained for the energy is -6.52 eV/atom. The spin magnetization is 0.00 μB/cell. The calculation puts the volume at 101 Å³ per cell. For the formation energy, the calculation gives 0.6 eV/f.u.

The space group is P4/mmm (No. 123) and the conventional cell measures 4.6814, 4.6814 and 4.6311 Å, with angles of 90.00, 90.00 and 90.00 degrees. The distinct sites, in fractional coordinates, are Lu at (0.0000, 0.0000, 0.0000), Sc at (0.0000, 0.5000, 0.5000) and Pa at (0.5000, 0.5000, 0.0000).

***

(10)
Crystalline Er2TmHg at its relaxed geometry, computed with PBE.

The density of states at the Fermi level is 4.96 states/eV/f.u. The calculation puts the excess energy over the best structure of this formula in the dataset at 70 meV/atom. Its crystal system is tetragonal. The value obtained for the energy is -3.63 eV/atom. The spin magnetization is 0.00 μB/cell. The calculation puts the volume at 108 Å³ per cell. For the formation energy, the calculation gives -0.6 eV/f.u.

The space group is P4/mmm (No. 123) and the conventional cell measures 4.7553, 4.7553 and 4.7632 Å, with angles of 90.00, 90.00 and 90.00 degrees. The distinct sites, in fractional coordinates, are Er at (0.0000, 0.5000, 0.0000), Tm at (0.0000, 0.0000, 0.5000) and Hg at (0.5000, 0.5000, 0.5000).

***

(11)
Crystalline BeAuSCl2 at its relaxed geometry, computed with PBE.

The density of states at the Fermi level is 2.47 states/eV/f.u. The calculation puts the excess energy over the best structure of this formula in the dataset at 718 meV/atom. Its crystal system is tetragonal. The value obtained for the energy is -2.29 eV/atom. The calculation puts the formation energy (no corrections) at 676 meV per atom. The spin magnetization is 0.00 μB/cell. The calculation puts the volume at 120 Å³ per cell.

The space group is P4/mmm (No. 123) and the conventional cell measures 4.8633, 4.8633 and 5.0689 Å, with angles of 90.00, 90.00 and 90.00 degrees. The distinct sites, in fractional coordinates, are Be at (0.0000, 0.0000, 0.0000), Au at (0.5000, 0.5000, 0.5000), S at (0.5000, 0.5000, 0.0000) and Cl at (0.0000, 0.5000, 0.5000).

***

(12)
Crystalline Pr4GeAu3 at its relaxed geometry, computed with PBE.

The density of states at the Fermi level is 7.43 states/eV/f.u. Its crystal system is orthorhombic. The value obtained for the energy is -4.97 eV/atom. The spin magnetization is 0.00 μB/cell. The calculation puts the volume at 217 Å³ per cell. For the formation energy, the calculation gives -6.2 eV/f.u.

The space group is Pmm2 (No. 25) and the conventional cell measures 4.1181, 4.6510 and 11.3103 Å, with angles of 90.00, 90.00 and 90.00 degrees. The distinct sites, in fractional coordinates, are Pr at (0.0000, 0.0000, 0.0000), Pr at (0.0000, 0.5000, 0.2719), Pr at (0.5000, 0.0000, 0.4923), Pr at (0.5000, 0.5000, 0.7720), Ge at (0.5000, 0.0000, 0.2222), Au at (0.0000, 0.0000, 0.7210), Au at (0.0000, 0.5000, 0.5524) and Au at (0.5000, 0.5000, 0.0496).